Below is a geometry-optimized CaZnInW2 structure, with properties calculated at the GGA-PBEsol level.

Cell lengths 4.654, 4.654, 5.199 Å; angles 90.00, 90.00, 90.00 degrees
Sites, in units of the cell vectors:
W 0.000 0.500 0.000
W 0.500 0.000 0.000
Ca 0.000 0.000 0.000
In 0.000 0.000 0.500
Zn 0.500 0.500 0.500

Energy relative to the elements (eV/atom): 2.773

=====

Below is a geometry-optimized AlGaI2O structure, with properties calculated at the GGA-PBEsol level.

Cell lengths 3.518, 5.739, 5.739 Å; angles 90.00, 90.00, 90.00 degrees
Sites, in units of the cell vectors:
Ga 0.500 0.500 0.500
I 0.000 0.500 0.000
I 0.000 0.000 0.500
O 0.500 0.000 0.000
Al 0.000 0.000 0.000

Formation energy from raw total energies (eV/atom): -0.908

=====

Below is a geometry-optimized TlTe2W structure, with properties calculated at the GGA-PBEsol level.

Cell lengths 3.595, 4.451, 7.969 Å; angles 90.00, 103.04, 90.00 degrees
Sites, in units of the cell vectors:
Tl 0.960 0.000 0.920
W 0.193 0.500 0.387
Te 0.275 0.000 0.551
Te 0.570 0.500 0.140

Formation energy from raw total energies (eV/atom): 0.524
Energy above the lowest structure with this stoichiometry (meV/atom): 98.8

=====

Below is a geometry-optimized RbCoMo2H structure, with properties calculated at the GGA-PBEsol level.

Cell lengths 3.788, 3.788, 5.245 Å; angles 90.00, 90.00, 90.00 degrees
Each line ends with the local moment (μB).
Sites, in units of the cell vectors:
Rb 0.000 0.000 0.500  0.00
Mo 0.000 0.500 0.000  -0.02
Mo 0.500 0.000 0.000  -0.02
Co 0.500 0.500 0.500  1.20
H 0.000 0.000 0.000  0.00

Calculated total energy (Ha/atom): -0.20901

=====

Below is a geometry-optimized Zr2NbAl2 structure, with properties calculated at the GGA-PBEsol level.

Cell lengths 3.690, 7.175, 7.175 Å; angles 90.00, 90.00, 90.00 degrees
Sites, in units of the cell vectors:
Nb 0.000 0.000 0.000
Nb 0.000 0.500 0.500
Zr 0.500 0.324 0.176
Zr 0.500 0.824 0.324
Zr 0.500 0.176 0.676
Zr 0.500 0.676 0.824
Al 0.000 0.625 0.125
Al 0.000 0.125 0.375
Al 0.000 0.875 0.625
Al 0.000 0.375 0.875

Energy relative to the elements (eV/atom): -0.295

=====

Below is a geometry-optimized SrInGeSe2 structure, with properties calculated at the GGA-PBEsol level.

Cell lengths 5.188, 5.188, 5.987 Å; angles 90.00, 90.00, 90.00 degrees
Sites, in units of the cell vectors:
Ge 0.500 0.500 0.500
Sr 0.000 0.000 0.500
Se 0.000 0.500 0.000
Se 0.500 0.000 0.000
In 0.000 0.000 0.000

Formation energy from raw total energies (eV/atom): 0.307
Energy above the lowest structure with this stoichiometry (meV/atom): 0.0